RbMgTa | PBE-GGA | relaxed

Structure (POSCAR):
```
RbMgTa
1.0
-2.499 -0.959 -1.669
1.932 -2.749 4.658
-8.689 7.427 7.593
Mg Rb Ta
2 2 2
direct
0.228 0.980 0.681 Mg
0.674 0.479 0.958 Mg
0.265 0.481 0.482 Rb
0.635 0.978 0.158 Rb
0.701 0.979 0.861 Ta
0.200 0.480 0.778 Ta
```

space-group type	P-1
DOS at the Fermi energy	5.3	states/eV per cell
crystal system	triclinic
distance to the lowest polymorph of the same formula	0.191	eV/atom
DFT total energy	-4.1931	eV per atom